# 1
First-principles (PBE) data for Sm3GeRh after structural relaxation, as listed in Alexandria.

abc: 6.973 8.592 10.614
angles: 113.88 113.40 90.00
Fractional positions:
1 Sm 0.458 0.204 0.925
2 Sm 0.587 0.548 0.281
3 Sm 0.407 0.132 0.353
4 Sm 0.042 0.278 0.075
5 Sm 0.593 0.868 0.647
6 Sm 0.958 0.722 0.925
7 Sm 0.913 0.267 0.719
8 Sm 0.413 0.452 0.719
9 Sm 0.087 0.733 0.281
10 Sm 0.542 0.796 0.075
11 Sm 0.093 0.779 0.647
12 Sm 0.907 0.221 0.353
13 Rh 0.750 0.495 0.000
14 Rh 0.750 0.994 0.000
15 Rh 0.250 0.505 0.000
16 Rh 0.250 0.006 0.000
17 Ge 0.233 0.076 0.567
18 Ge 0.733 0.491 0.567
19 Ge 0.767 0.924 0.433
20 Ge 0.267 0.509 0.433

Summary:
Offset from the most stable computed form in eV/f.u.: 0.084
Calculated volume in Å³/cell: 524
ΔE_f in kJ per mole of atoms: -59
Space group: No. 15

***

# 2
First-principles (PBE) data for Sm6GeRh3 after structural relaxation, as listed in Alexandria.

abc: 4.178 11.500 11.912
angles: 108.42 90.00 90.00
Fractional positions:
1 Sm 0.750 0.731 0.273
2 Sm 0.250 0.269 0.727
3 Sm 0.250 0.877 0.540
4 Sm 0.750 0.923 0.101
5 Sm 0.250 0.077 0.899
6 Sm 0.750 0.469 0.610
7 Sm 0.750 0.395 0.060
8 Sm 0.250 0.531 0.390
9 Sm 0.750 0.802 0.764
10 Sm 0.750 0.123 0.460
11 Sm 0.250 0.605 0.940
12 Sm 0.250 0.198 0.236
13 Ge 0.250 0.952 0.310
14 Ge 0.750 0.048 0.690
15 Rh 0.250 0.314 0.495
16 Rh 0.250 0.561 0.165
17 Rh 0.750 0.153 0.075
18 Rh 0.750 0.439 0.835
19 Rh 0.250 0.847 0.925
20 Rh 0.750 0.686 0.505

Summary:
Calculated volume in Å³/cell: 543
ΔE_f in kJ per mole of atoms: -59
Space group: No. 11

***

# 3
First-principles (PBE) data for Sm3Ge13Rh4 after structural relaxation, as listed in Alexandria.

abc: 9.085 9.085 9.085
angles: 90.00 90.00 90.00
Fractional positions:
1 Ge 0.307 0.000 0.147
2 Ge 0.853 0.307 0.000
3 Ge 0.193 0.647 0.500
4 Ge 0.353 0.500 0.193
5 Ge 0.500 0.500 0.500
6 Ge 0.353 0.500 0.807
7 Ge 0.500 0.193 0.353
8 Ge 0.500 0.807 0.647
9 Ge 0.307 0.000 0.853
10 Ge 0.647 0.500 0.193
11 Ge 0.647 0.500 0.807
12 Ge 0.000 0.853 0.693
13 Ge 0.147 0.693 0.000
14 Ge 0.000 0.853 0.307
15 Ge 0.000 0.000 0.000
16 Ge 0.193 0.353 0.500
17 Ge 0.500 0.807 0.353
18 Ge 0.500 0.193 0.647
19 Ge 0.000 0.147 0.307
20 Ge 0.000 0.147 0.693
21 Ge 0.693 0.000 0.147
22 Ge 0.693 0.000 0.853
23 Ge 0.147 0.307 0.000
24 Ge 0.853 0.693 0.000
25 Ge 0.807 0.353 0.500
26 Ge 0.807 0.647 0.500
27 Rh 0.750 0.750 0.750
28 Rh 0.250 0.250 0.750
29 Rh 0.250 0.250 0.250
30 Rh 0.750 0.250 0.250
31 Rh 0.250 0.750 0.250
32 Rh 0.250 0.750 0.750
33 Rh 0.750 0.250 0.750
34 Rh 0.750 0.750 0.250
35 Sm 0.500 0.250 0.000
36 Sm 0.500 0.750 0.000
37 Sm 0.000 0.500 0.250
38 Sm 0.750 0.000 0.500
39 Sm 0.250 0.000 0.500
40 Sm 0.000 0.500 0.750

Summary:
Calculated volume in Å³/cell: 750
ΔE_f in kJ per mole of atoms: -53
Space group: No. 223

***

# 4
First-principles (PBE) data for SmGe3Rh3 after structural relaxation, as listed in Alexandria.

abc: 6.867 6.867 7.839
angles: 64.02 64.02 60.00
Fractional positions:
1 Ge 0.356 0.114 0.732
2 Ge 0.886 0.202 0.268
3 Ge 0.202 0.644 0.268
4 Ge 0.114 0.798 0.732
5 Ge 0.798 0.356 0.732
6 Ge 0.644 0.886 0.268
7 Sm 0.330 0.330 0.009
8 Sm 0.670 0.670 0.991
9 Rh 0.238 0.911 0.362
10 Rh 0.490 0.238 0.362
11 Rh 0.089 0.510 0.638
12 Rh 0.510 0.762 0.638
13 Rh 0.762 0.089 0.638
14 Rh 0.911 0.490 0.362

Summary:
Offset from the most stable computed form in eV/f.u.: 0.692
Calculated volume in Å³/cell: 276
ΔE_f in kJ per mole of atoms: -51
Space group: No. 148

***

# 5
First-principles (PBE) data for SmGe2Rh5 after structural relaxation, as listed in Alexandria.

abc: 3.885 6.372 6.372
angles: 66.20 72.25 72.25
Fractional positions:
1 Rh 0.359 0.839 0.443
2 Rh 0.000 0.500 0.500
3 Rh 0.641 0.557 0.161
4 Rh 0.641 0.161 0.557
5 Rh 0.359 0.443 0.839
6 Ge 0.757 0.743 0.743
7 Ge 0.243 0.257 0.257
8 Sm 0.000 0.000 0.000

Summary:
Calculated volume in Å³/cell: 134
ΔE_f in kJ per mole of atoms: -56
Space group: No. 71

***

# 6
First-principles (PBE) data for Sm3Ge2Rh4 after structural relaxation, as listed in Alexandria.

abc: 4.102 5.714 9.046
angles: 110.28 90.00 111.04
Fractional positions:
1 Rh 0.866 0.733 0.557
2 Rh 0.718 0.436 0.067
3 Rh 0.282 0.564 0.933
4 Rh 0.134 0.267 0.443
5 Ge 0.346 0.692 0.698
6 Ge 0.654 0.308 0.302
7 Sm 0.628 0.257 0.694
8 Sm 0.000 0.000 0.000
9 Sm 0.372 0.743 0.306

Summary:
Calculated volume in Å³/cell: 184
ΔE_f in kJ per mole of atoms: -77
Space group: No. 12

***

# 7
First-principles (PBE) data for Sm2SnGe2Rh5 after structural relaxation, as listed in Alexandria.

abc: 3.658 9.907 9.907
angles: 90.00 90.00 90.00
Fractional positions:
1 Ge 0.000 0.622 0.878
2 Ge 0.000 0.378 0.122
3 Ge 0.000 0.878 0.378
4 Ge 0.000 0.122 0.622
5 Rh 0.500 0.068 0.787
6 Rh 0.500 0.500 0.000
7 Rh 0.500 0.713 0.432
8 Rh 0.500 0.432 0.287
9 Rh 0.500 0.000 0.500
10 Rh 0.500 0.568 0.713
11 Rh 0.500 0.287 0.568
12 Rh 0.500 0.787 0.932
13 Rh 0.500 0.932 0.213
14 Rh 0.500 0.213 0.068
15 Sn 0.000 0.500 0.500
16 Sn 0.000 0.000 0.000
17 Sm 0.000 0.324 0.824
18 Sm 0.000 0.676 0.176
19 Sm 0.000 0.176 0.324
20 Sm 0.000 0.824 0.676

Summary:
Calculated volume in Å³/cell: 359
ΔE_f in kJ per mole of atoms: -75
Space group: No. 127

***

# 8
First-principles (PBE) data for Sm3SnGe2Rh9 after structural relaxation, as listed in Alexandria.

abc: 6.921 6.921 7.389
angles: 90.00 90.00 120.00
Fractional positions:
1 Rh 0.615 0.807 0.368
2 Rh 0.385 0.193 0.632
3 Rh 0.500 0.000 0.000
4 Rh 0.000 0.500 0.000
5 Rh 0.807 0.615 0.632
6 Rh 0.807 0.193 0.632
7 Rh 0.500 0.500 0.000
8 Rh 0.193 0.807 0.368
9 Rh 0.193 0.385 0.368
10 Ge 0.667 0.333 0.850
11 Ge 0.333 0.667 0.150
12 Sm 0.333 0.667 0.682
13 Sm 0.667 0.333 0.318
14 Sm 0.000 0.000 0.000
15 Sn 0.000 0.000 0.500

Summary:
Calculated volume in Å³/cell: 306
ΔE_f in kJ per mole of atoms: -25
Space group: No. 164

***

> ΔE_f of number 4 (SmGe3Rh3)?

-51 kJ per mole of atoms